Computed, not measured: an optimized crystal structure of Cd2InAs at the GGA-PBE level of DFT.

Output
Magnetization (μB per atom): 0.00
Energy relative to the elements (eV per atom): 0.0981
Space-group type: P4mm
Density of states at the Fermi level (states/eV per atom): 0.57

Cell: 4.058 4.058 5.956 Å, 90.00 90.00 90.00°
Atoms (fractional coordinates):
1 As 0.500 0.500 0.674
2 Cd 0.500 0.500 0.196
3 Cd 0.000 0.000 0.062
4 In 0.000 0.000 0.567